DFT (GGA+U) results for a geometry-optimized Li3Cr2FeO6 structure.

```
data_Li3Cr2FeO6
_chemical_formula_sum 'Li6 Cr4 Fe2 O12'
_symmetry_space_group_name_H-M 'C 1 2/m 1'
_symmetry_Int_Tables_number 12
_cell_length_a 13.0518
_cell_length_b 2.9514
_cell_length_c 5.9147
_cell_angle_alpha 90.00
_cell_angle_beta 103.11
_cell_angle_gamma 90.00
loop_
_symmetry_equiv_pos_as_xyz
'x,y,z'
'-x,-y,-z'
'-x,y,-z'
'x,-y,z'
'x+1/2,y+1/2,z'
'-x+1/2,-y+1/2,-z'
'-x+1/2,y+1/2,-z'
'x+1/2,-y+1/2,z'
loop_
_atom_site_label
_atom_site_type_symbol
_atom_site_fract_x
_atom_site_fract_y
_atom_site_fract_z
Li1 Li 0.0000 0.0000 0.0000
Li2 Li 0.1703 0.5000 0.3388
Cr1 Cr 0.1678 0.5000 0.8307
Fe1 Fe 0.0000 0.0000 0.5000
O1 O 0.0080 0.5000 0.7331
O2 O 0.1652 0.0000 0.5967
O3 O 0.1720 0.0000 0.0684
```

Output
- Calculated total energy: -6.558 eV/atom